The following is a DFT calculation (GGA-PBE) of crystalline Zr6Ni5Rh at its relaxed geometry.

Lattice parameters (Å, degrees): 4.736 6.449 7.117 90.13 110.50 89.40
Atoms (fractional coordinates):
Ni: 0.592 0.473 0.321
Ni: 0.400 0.974 0.671
Ni: 0.000 0.500 0.000
Ni: 0.600 0.026 0.329
Ni: 0.408 0.527 0.679
Rh: 0.000 0.000 0.000
Zr: 0.862 0.747 0.652
Zr: 0.831 0.250 0.664
Zr: 0.487 0.253 0.988
Zr: 0.513 0.747 0.012
Zr: 0.169 0.750 0.336
Zr: 0.138 0.253 0.348

Output
As for the density of states at the Fermi level: 1.08 states/eV per atom. As for the energy: -92.57 eV for the cell shown. As for the symmetry: P-1 (2).